No. 1
A plane-wave DFT calculation with GGA-PBE was carried out for a relaxed structure of LaTa2Au.

a = 3.2526 Å, b = 5.0472 Å, c = 5.2049 Å
α = 90.00°, β = 90.00°, γ = 90.00°
With the nearest neighbours (Å) after each atom.
Fractional positions:
La1 0.0000 0.0000 0.0000  4 Au 3.00, 4 Ta 3.07, 2 La 3.25
Ta1 0.0000 0.5000 0.5000  6 Ta 3.00-3.25, 4 Au 3.07
Ta2 0.5000 0.0000 0.5000  6 Ta 3.00-3.25, 4 La 3.07
Au1 0.5000 0.5000 0.0000  4 La 3.00, 4 Ta 3.07, 2 Au 3.25

Computed properties:
The calculation puts the formation energy at 0.287 eV/atom. The space group is Pmmm. The calculation puts the density of states at the Fermi level at 4.39 states/eV per cell. As for the energy above the most stable polymorph in this dataset: 0.238 eV/atom.

=====

No. 2
A plane-wave DFT calculation with GGA-PBE was carried out for a relaxed structure of LaTa2Au.

a = 5.2597 Å, b = 5.2597 Å, c = 5.9714 Å
α = 98.08°, β = 98.08°, γ = 33.40°
With the nearest neighbours (Å) after each atom.
Fractional positions:
La1 0.0000 0.0000 0.0000  3 Au 3.01-3.15, 2 La 3.02, 3 Ta 3.24-3.31
Ta1 0.2164 0.2164 0.6331  5 Ta 2.83-3.02, 2 Au 2.88
Ta2 0.4789 0.4789 0.5158  5 Ta 2.83-3.02, 2 Au 3.00
Au1 0.7563 0.7563 0.2382  4 Ta 2.88-3.00, 3 La 3.01-3.15, 2 Au 3.02

Computed properties:
The calculation puts the formation energy at 0.281 eV/atom. The space group is Cm. The calculation puts the density of states at the Fermi level at 3.34 states/eV per cell. As for the energy above the most stable polymorph in this dataset: 0.232 eV/atom.

=====

No. 3
A plane-wave DFT calculation with GGA-PBE was carried out for a relaxed structure of LaTa2Au.

a = 5.6924 Å, b = 5.6924 Å, c = 5.6924 Å
α = 136.34°, β = 136.34°, γ = 63.46°
With the nearest neighbours (Å) after each atom.
Fractional positions:
La1 0.0000 0.0000 0.0000  4 Au 2.99, 8 Ta 3.22
Ta1 0.2500 0.7500 0.5000  4 Ta 2.99, 4 La 3.22, 4 Au 3.22
Ta2 0.7500 0.2500 0.5000  4 Ta 2.99, 4 La 3.22, 4 Au 3.22
Au1 0.5000 0.5000 0.0000  4 La 2.99, 8 Ta 3.22

Computed properties:
The calculation puts the formation energy at 0.384 eV/atom. The space group is I4/mmm. The calculation puts the density of states at the Fermi level at 4.81 states/eV per cell. As for the energy above the most stable polymorph in this dataset: 0.335 eV/atom.

=====

No. 4
A plane-wave DFT calculation with GGA-PBE was carried out for a relaxed structure of LaTa2Au.

a = 2.9741 Å, b = 2.9741 Å, c = 9.5381 Å
α = 90.00°, β = 90.00°, γ = 90.00°
With the nearest neighbours (Å) after each atom.
Fractional positions:
La1 0.0000 0.0000 0.0000  4 La 2.97, 4 Au 3.33
Ta1 0.0000 0.0000 0.5203  4 Au 2.90, 8 Ta 2.97-3.02
Ta2 0.5000 0.5000 0.2934  8 Ta 2.97-3.02
Au1 0.5000 0.5000 0.7299  4 Ta 2.90, 4 Au 2.97

Computed properties:
The calculation puts the formation energy at 0.112 eV/atom. The space group is P4mm. The calculation puts the density of states at the Fermi level at 4.79 states/eV per cell. As for the energy above the most stable polymorph in this dataset: 0.063 eV/atom.

=====

No. 5
A plane-wave DFT calculation with GGA-PBE was carried out for a relaxed structure of LaTa2Au.

a = 10.6814 Å, b = 10.6814 Å, c = 10.6814 Å
α = 16.37°, β = 16.37°, γ = 16.37°
With the nearest neighbours (Å) after each atom.
Fractional positions:
La1 0.0000 0.0000 0.0000  6 La 3.04
Ta1 0.2404 0.2404 0.2404  3 Au 2.92, 6 Ta 3.04
Ta2 0.7596 0.7596 0.7596  3 Au 2.92, 6 Ta 3.04
Au1 0.5000 0.5000 0.5000  6 Ta 2.92, 6 Au 3.04

Computed properties:
The calculation puts the formation energy at 0.464 eV/atom. The space group is R-3m. The calculation puts the density of states at the Fermi level at 5.61 states/eV per cell. As for the energy above the most stable polymorph in this dataset: 0.415 eV/atom.

=====

No. 6
A plane-wave DFT calculation with GGA-PBE was carried out for a relaxed structure of LaTa2Au.

a = 3.4150 Å, b = 3.4150 Å, c = 7.6213 Å
α = 90.00°, β = 90.00°, γ = 90.00°
With the nearest neighbours (Å) after each atom.
Fractional positions:
La1 0.0000 0.0000 0.0000  5 Ta 3.31-3.65, 4 Au 3.33, 4 La 3.42
Ta1 0.0000 0.0000 0.4794  4 Ta 2.79, 4 Au 2.94
Ta2 0.5000 0.5000 0.2970  4 Ta 2.79, 1 Au 3.07
Au1 0.5000 0.5000 0.6999  5 Ta 2.94-3.07

Computed properties:
The calculation puts the formation energy at 0.049 eV/atom. The space group is P4mm. The calculation puts the density of states at the Fermi level at 4.36 states/eV per cell. As for the energy above the most stable polymorph in this dataset: 0.000 eV/atom.

=====

No. 7
A plane-wave DFT calculation with GGA-PBE was carried out for a relaxed structure of LaTa2Au.

a = 5.7318 Å, b = 5.7318 Å, c = 2.8898 Å
α = 90.00°, β = 90.00°, γ = 117.03°
With the nearest neighbours (Å) after each atom.
Fractional positions:
La1 0.0000 0.0000 0.0000  2 La 2.89, 2 Au 2.99, 8 Ta 3.21
Ta1 0.0000 0.5000 0.5000  4 Ta 2.89-2.99, 4 La 3.21, 4 Au 3.21
Ta2 0.5000 0.0000 0.5000  4 Ta 2.89-2.99, 4 Au 3.21, 4 La 3.21
Au1 0.5000 0.5000 0.0000  2 Au 2.89, 2 La 2.99, 8 Ta 3.21

Computed properties:
The calculation puts the formation energy at 0.512 eV/atom. The space group is Cmmm. The calculation puts the density of states at the Fermi level at 3.91 states/eV per cell. As for the energy above the most stable polymorph in this dataset: 0.463 eV/atom.

=====

No. 8
A plane-wave DFT calculation with GGA-PBE was carried out for a relaxed structure of LaTaAu4.

a = 5.6315 Å, b = 5.6315 Å, c = 5.6315 Å
α = 60.00°, β = 60.00°, γ = 60.00°
With the nearest neighbours (Å) after each atom.
Fractional positions:
La1 0.0000 0.0000 0.0000  12 Au 3.30, 4 Ta 3.45
Ta1 0.7500 0.7500 0.7500  12 Au 3.30, 4 La 3.45
Au1 0.3756 0.3756 0.3756  6 Au 2.80-2.83
Au2 0.3756 0.3756 0.8731  6 Au 2.80-2.83
Au3 0.3756 0.8731 0.3756  6 Au 2.80-2.83
Au4 0.8731 0.3756 0.3756  6 Au 2.80-2.83

Computed properties:
The calculation puts the formation energy at 0.045 eV/atom. The space group is F-43m. The calculation puts the density of states at the Fermi level at 7.96 states/eV per cell.

=====

No. 9
A plane-wave DFT calculation with GGA-PBE was carried out for a relaxed structure of LaTaAu.

a = 4.5478 Å, b = 4.5478 Å, c = 4.3475 Å
α = 90.00°, β = 90.00°, γ = 120.00°
With the nearest neighbours (Å) after each atom.
Fractional positions:
La1 0.0000 0.0000 0.0000  6 Ta 3.41, 6 Au 3.41
Ta1 0.3333 0.6667 0.5000  3 Au 2.63
Au1 0.6667 0.3333 0.5000  3 Ta 2.63

Computed properties:
The calculation puts the formation energy at 0.080 eV/atom. The space group is P-6m2. The calculation puts the density of states at the Fermi level at 3.11 states/eV per cell. As for the energy above the most stable polymorph in this dataset: 0.085 eV/atom.

=====

No. 10
A plane-wave DFT calculation with GGA-PBE was carried out for a relaxed structure of LaTa2Au.

a = 9.8689 Å, b = 9.8689 Å, c = 9.8689 Å
α = 19.06°, β = 19.06°, γ = 19.06°
With the nearest neighbours (Å) after each atom.
Fractional positions:
La1 0.0000 0.0000 0.0000  6 La 3.27, 3 Au 3.31, 3 Ta 3.41
Ta1 0.2358 0.2358 0.2358  3 Ta 2.76
Ta2 0.4999 0.4999 0.4999  3 Ta 2.76, 3 Au 2.84
Au1 0.7601 0.7601 0.7601  3 Ta 2.84

Computed properties:
The calculation puts the formation energy at 0.278 eV/atom. The space group is R3m. The calculation puts the density of states at the Fermi level at 6.02 states/eV per cell. As for the energy above the most stable polymorph in this dataset: 0.229 eV/atom.

=====

No. 11
A plane-wave DFT calculation with GGA-PBE was carried out for a relaxed structure of LaTaAu3.

a = 5.1216 Å, b = 5.1216 Å, c = 5.1216 Å
α = 90.00°, β = 90.00°, γ = 90.00°
With the nearest neighbours (Å) after each atom.
Fractional positions:
La1 0.0000 0.0000 0.0000  12 Au 3.62
Ta1 0.5000 0.5000 0.5000  6 Au 2.56
Au1 0.0000 0.5000 0.5000  2 Ta 2.56
Au2 0.5000 0.0000 0.5000  2 Ta 2.56
Au3 0.5000 0.5000 0.0000  2 Ta 2.56

Computed properties:
The calculation puts the formation energy at 0.112 eV/atom. The space group is Pm-3m. The calculation puts the density of states at the Fermi level at 7.67 states/eV per cell. As for the energy above the most stable polymorph in this dataset: 0.000 eV/atom.

=====

No. 12
A plane-wave DFT calculation with GGA-PBE was carried out for a relaxed structure of LaTa2Au.

a = 3.1903 Å, b = 5.3570 Å, c = 5.2094 Å
α = 90.00°, β = 94.70°, γ = 90.00°
With the nearest neighbours (Å) after each atom.
Fractional positions:
La1 0.0000 0.0000 0.0000  4 Au 2.94-3.16, 2 La 3.19, 4 Ta 3.26
Ta1 0.3652 0.5000 0.7411  2 Ta 2.72-2.76, 2 Au 3.00
Ta2 0.6348 0.5000 0.2589  2 Ta 2.72-2.76, 2 Au 3.00
Au1 0.5000 0.0000 0.5000  4 La 2.94-3.16, 4 Ta 3.00, 2 Au 3.19

Computed properties:
The calculation puts the formation energy at 0.328 eV/atom. The space group is P2/m. The calculation puts the density of states at the Fermi level at 4.24 states/eV per cell. As for the energy above the most stable polymorph in this dataset: 0.279 eV/atom.